Computed, not measured: an optimized crystal structure of YSn3Rh2 at the PBE-GGA level of DFT.

a = 6.602 Å, b = 6.602 Å, c = 6.837 Å
α = 90.00°, β = 90.00°, γ = 120.00°
Fractional positions:
Y: 0.333 0.667 0.177
Y: 0.667 0.333 0.823
Sn: 0.169 0.338 0.785
Sn: 0.169 0.831 0.785
Sn: 0.338 0.169 0.215
Sn: 0.662 0.831 0.785
Sn: 0.831 0.169 0.215
Sn: 0.831 0.662 0.215
Rh: 0.000 0.000 0.500
Rh: 0.000 0.500 0.500
Rh: 0.500 0.000 0.500
Rh: 0.500 0.500 0.500

Space group   P-3m1
Calculated density   8.4 Mg/m³
Formation energy   -428.6 meV/atom
Density of states at the Fermi level   0.656 states/eV/atom